# 1
VASP calculation (PBE) on Tc2HgP after structural relaxation.

abc: 4.103 4.103 9.262
angles: 77.20 77.20 90.00
Fractional coordinates of all 8 atoms:
Hg: 0.000 0.000 0.000
Tc: 0.375 0.476 0.750
Tc: 0.524 0.125 0.250
Hg: 0.750 0.250 0.500
P: 0.250 0.750 0.500
Tc: 0.226 0.625 0.250
Tc: 0.875 0.774 0.750
P: 0.500 0.500 0.000

## Properties
formation enthalpy at 0 K = 0.631 eV/atom
crystal system = tetragonal


# 2
VASP calculation (PBE) on Tc2HgP after structural relaxation.

abc: 2.777 2.777 10.318
angles: 90.00 90.00 114.95
Fractional coordinates of all 4 atoms:
Tc: 0.000 0.000 0.998
Tc: 0.500 0.500 0.789
P: 0.500 0.500 0.181
Hg: 0.000 0.000 0.532

## Properties
formation enthalpy at 0 K = 0.431 eV/atom
crystal system = orthorhombic


# 3
VASP calculation (PBE) on Tc2HgP after structural relaxation.

abc: 5.485 5.485 4.335
angles: 90.00 90.00 148.77
Fractional coordinates of all 4 atoms:
P: 0.273 0.727 0.500
Tc: 0.195 0.805 0.000
Hg: 0.936 0.064 0.000
Tc: 0.600 0.400 0.500

## Properties
formation enthalpy at 0 K = 0.212 eV/atom
crystal system = orthorhombic


# 4
VASP calculation (PBE) on Tc2HgP2 after structural relaxation.

abc: 7.121 7.121 3.006
angles: 90.00 90.00 90.00
Fractional coordinates of all 10 atoms:
Hg: 0.000 0.000 0.000
Tc: 0.644 0.144 0.000
P: 0.864 0.364 0.500
P: 0.364 0.136 0.500
Tc: 0.144 0.356 0.000
Tc: 0.856 0.644 0.000
Hg: 0.500 0.500 0.000
P: 0.636 0.864 0.500
Tc: 0.356 0.856 0.000
P: 0.136 0.636 0.500

## Properties
formation enthalpy at 0 K = -0.036 eV/atom
crystal system = tetragonal


# 5
VASP calculation (PBE) on Tc2HgP after structural relaxation.

abc: 5.141 5.141 2.952
angles: 76.01 76.01 113.28
Fractional coordinates of all 4 atoms:
Tc: 0.000 0.500 0.000
P: 0.000 0.000 0.500
Hg: 0.500 0.500 0.500
Tc: 0.500 0.000 0.000

## Properties
formation enthalpy at 0 K = 0.693 eV/atom
crystal system = monoclinic


# 6
VASP calculation (PBE) on Tc2HgP after structural relaxation.

abc: 4.498 4.498 4.498
angles: 60.00 60.00 60.00
Fractional coordinates of all 4 atoms:
Tc: 0.000 0.000 0.000
P: 0.750 0.750 0.750
Tc: 0.250 0.250 0.250
Hg: 0.500 0.500 0.500

## Properties
formation enthalpy at 0 K = 0.695 eV/atom
crystal system = cubic


# 7
VASP calculation (PBE) on TcHgP2 after structural relaxation.

abc: 2.880 2.880 10.435
angles: 90.00 90.00 117.18
Fractional coordinates of all 4 atoms:
Tc: 0.500 0.500 0.250
P: 0.000 0.000 0.070
P: 0.000 0.000 0.430
Hg: 0.500 0.500 0.750

## Properties
formation enthalpy at 0 K = 0.241 eV/atom
crystal system = orthorhombic


# 8
VASP calculation (PBE) on Tc3HgP after structural relaxation.

abc: 5.104 5.104 5.104
angles: 90.00 90.00 90.00
Each line ends with the local moment (μB).
Fractional coordinates of all 5 atoms:
Tc: 0.000 0.000 0.500  3.48
Tc: 0.500 0.000 0.000  2.78
Hg: 0.000 0.000 0.000  0.06
Tc: 0.000 0.500 0.000  3.18
P: 0.500 0.500 0.500  -0.11

## Properties
formation enthalpy at 0 K = 2.679 eV/atom
crystal system = cubic


# 9
VASP calculation (PBE) on TcHgP2 after structural relaxation.

abc: 8.944 8.944 8.944
angles: 161.15 159.94 27.66
Fractional coordinates of all 4 atoms:
Tc: 0.549 0.549 0.000
P: 0.655 0.155 0.500
P: 0.982 0.982 0.000
Hg: 0.313 0.813 0.500

## Properties
formation enthalpy at 0 K = 0.018 eV/atom
crystal system = orthorhombic


# 10
VASP calculation (PBE) on Tc2HgP after structural relaxation.

abc: 5.176 5.176 5.176
angles: 145.91 124.80 66.49
Fractional coordinates of all 4 atoms:
Tc: 0.706 0.706 0.000
Hg: 0.000 0.500 0.500
Tc: 0.294 0.294 0.000
P: 0.500 0.000 0.500

## Properties
formation enthalpy at 0 K = 0.276 eV/atom
crystal system = orthorhombic


# 11
VASP calculation (PBE) on TcHgP2 after structural relaxation.

abc: 3.989 3.989 7.790
angles: 108.86 108.86 44.76
Fractional coordinates of all 4 atoms:
P: 0.399 0.399 0.600
Tc: 0.750 0.750 0.750
P: 0.101 0.101 0.900
Hg: 0.250 0.250 0.250

## Properties
formation enthalpy at 0 K = -0.007 eV/atom
crystal system = monoclinic


# 12
VASP calculation (PBE) on Tc2HgP after structural relaxation.

abc: 4.918 4.918 4.918
angles: 132.94 132.94 68.74
Fractional coordinates of all 4 atoms:
Tc: 0.250 0.750 0.500
Tc: 0.000 0.000 0.000
P: 0.750 0.250 0.500
Hg: 0.500 0.500 0.000

## Properties
formation enthalpy at 0 K = 0.657 eV/atom
crystal system = tetragonal


# 13
VASP calculation (PBE) on Tc2HgP after structural relaxation.

abc: 4.408 4.408 3.138
angles: 90.00 90.00 90.00
Fractional coordinates of all 4 atoms:
Tc: 0.000 0.500 0.000
Tc: 0.500 0.000 0.000
Hg: 0.500 0.500 0.500
P: 0.000 0.000 0.500

## Properties
formation enthalpy at 0 K = 0.496 eV/atom
crystal system = tetragonal


# 14
VASP calculation (PBE) on TcHgP2 after structural relaxation.

abc: 6.067 6.067 6.067
angles: 152.50 131.80 56.39
Each line ends with the local moment (μB).
Fractional coordinates of all 4 atoms:
Tc: 0.750 0.250 0.500  0.38
P: 0.571 0.571 0.000  0.01
Hg: 0.250 0.750 0.500  0.01
P: 0.929 0.929 0.000  0.01

## Properties
formation enthalpy at 0 K = 0.314 eV/atom
crystal system = orthorhombic


# 15
VASP calculation (PBE) on Tc2HgP after structural relaxation.

abc: 6.631 6.631 6.631
angles: 31.34 31.34 31.34
Fractional coordinates of all 4 atoms:
Tc: 0.279 0.279 0.279
Hg: 0.500 0.500 0.500
Tc: 0.721 0.721 0.721
P: 0.000 0.000 0.000

## Properties
formation enthalpy at 0 K = 0.070 eV/atom
crystal system = trigonal


# 16
VASP calculation (PBE) on TcHgP2 after structural relaxation.

abc: 4.437 3.389 4.802
angles: 69.76 90.00 90.00
Fractional coordinates of all 4 atoms:
P: 0.000 0.019 0.083
Tc: 0.000 0.330 0.467
P: 0.500 0.436 0.246
Hg: 0.500 0.715 0.704

## Properties
formation enthalpy at 0 K = 0.285 eV/atom
crystal system = monoclinic


# 17
VASP calculation (PBE) on TcHgP2 after structural relaxation.

abc: 9.842 9.842 9.842
angles: 17.79 17.79 17.79
Fractional coordinates of all 4 atoms:
Hg: 0.750 0.750 0.750
Tc: 0.250 0.250 0.250
P: 0.525 0.525 0.525
P: 0.975 0.975 0.975

## Properties
formation enthalpy at 0 K = -0.061 eV/atom
crystal system = trigonal


# 18
VASP calculation (PBE) on Tc2HgP after structural relaxation.

abc: 8.465 8.465 8.465
angles: 20.06 20.06 20.06
Fractional coordinates of all 4 atoms:
Hg: 0.500 0.500 0.500
Tc: 0.264 0.264 0.264
Tc: 0.736 0.736 0.736
P: 0.000 0.000 0.000

## Properties
formation enthalpy at 0 K = 0.112 eV/atom
crystal system = trigonal


# 19
VASP calculation (PBE) on Tc2HgP after structural relaxation.

abc: 2.933 2.933 8.322
angles: 90.00 90.00 116.19
Fractional coordinates of all 4 atoms:
Hg: 0.500 0.500 0.500
Tc: 0.000 0.000 0.797
Tc: 0.000 0.000 0.203
P: 0.500 0.500 0.000

## Properties
formation enthalpy at 0 K = 0.253 eV/atom
crystal system = orthorhombic


# 20
VASP calculation (PBE) on Tc4HgP after structural relaxation.

abc: 5.198 5.198 5.198
angles: 60.00 60.00 60.00
Fractional coordinates of all 6 atoms:
Tc: 0.374 0.374 0.878
P: 0.000 0.000 0.000
Tc: 0.374 0.374 0.374
Tc: 0.374 0.878 0.374
Hg: 0.750 0.750 0.750
Tc: 0.878 0.374 0.374

## Properties
formation enthalpy at 0 K = 0.726 eV/atom
crystal system = cubic


| no. | V (Å³/cell) |
| --- | --- |
| 1 | 148.1 |
| 2 | 72.2 |
| 3 | 67.6 |
| 4 | 152.5 |
| 5 | 64.4 |
| 6 | 64.4 |
| 7 | 77.0 |
| 8 | 133.0 |
| 9 | 79.3 |
| 10 | 63.0 |
| 11 | 81.8 |
| 12 | 62.6 |
| 13 | 61.0 |
| 14 | 76.4 |
| 15 | 70.0 |
| 16 | 67.7 |
| 17 | 77.7 |
| 18 | 62.4 |
| 19 | 64.2 |
| 20 | 99.3 |